Record 1
VASP calculation (GGA-PBE) on a relaxed BaBRh crystal.

a = 3.936 Å, b = 3.936 Å, c = 9.721 Å
α = 90.00°, β = 90.00°, γ = 90.00°
Space group P4/nmm (No. 129, origin choice 2)
One atom of each set of equivalent atoms:
Ba  0.250  0.250  0.214 (multiplicity 2)
B  0.250  0.250  0.584 (multiplicity 2)
Rh  0.250  0.750  0.500 (multiplicity 2)

Values from the calculation:
Density of states at the Fermi level in states/eV/f.u.: 1.639
ρ in g/cm³: 5.5
E_form in eV/f.u.: -1.1
Crystal system: tetragonal
E in eV per formula unit: -17.1
Distance to the lowest polymorph of the same formula in meV per atom: 0
M_tot in μB/f.u.: 0.00



Record 2
VASP calculation (GGA-PBE) on a relaxed Pm8HoSn6 crystal.

a = 9.2625 Å, b = 9.2625 Å, c = 19.7527 Å
α = 90.00°, β = 90.00°, γ = 120.00°
Space group R-3 (No. 148, hexagonal axes)
One atom of each set of equivalent atoms:
Pm  0.0000  0.0000  0.1663 (multiplicity 6)
Pm  0.0009  0.3365  0.3958 (multiplicity 18)
Ho  0.0000  0.0000  0.5000 (multiplicity 3)
Sn  0.0004  0.3288  0.5671 (multiplicity 18)

Values from the calculation:
Density of states at the Fermi level in states/eV/f.u.: 9.212
ρ in g/cm³: 6.9
E_form in eV/f.u.: -8.5
Crystal system: trigonal
E in eV per formula unit: -75.1
M_tot in μB/f.u.: 0.00



Record 3
VASP calculation (GGA-PBE) on a relaxed Tb6PmHo3Tm2 crystal.

a = 6.142 Å, b = 10.629 Å, c = 11.750 Å
α = 90.00°, β = 99.98°, γ = 90.00°
Space group C2/m (No. 12)
One atom of each set of equivalent atoms:
Tb  0.249  0.167  0.249 (multiplicity 8)
Tb  0.250  0.000  0.751 (multiplicity 4)
Pm  0.000  0.500  0.500 (multiplicity 2)
Ho  0.000  0.000  0.000 (multiplicity 2)
Ho  0.000  0.333  0.000 (multiplicity 4)
Tm  0.000  0.167  0.500 (multiplicity 4)

Values from the calculation:
Density of states at the Fermi level in states/eV/f.u.: 15.261
ρ in g/cm³: 8.5
E_form in eV/f.u.: 0.2
Crystal system: monoclinic
E in eV per formula unit: -55.0
M_tot in μB/f.u.: 0.00



Record 4
VASP calculation (GGA-PBE) on a relaxed BaPr4Ag5 crystal.

a = 3.839 Å, b = 3.839 Å, c = 19.293 Å
α = 90.00°, β = 90.00°, γ = 90.00°
Space group P4/mmm (No. 123)
One atom of each set of equivalent atoms:
Ba  0.000  0.000  0.000 (multiplicity 1)
Pr  0.000  0.000  0.209 (multiplicity 2)
Pr  0.000  0.000  0.404 (multiplicity 2)
Ag  0.500  0.500  0.121 (multiplicity 2)
Ag  0.500  0.500  0.305 (multiplicity 2)
Ag  0.500  0.500  0.500 (multiplicity 1)

Values from the calculation:
Density of states at the Fermi level in states/eV/f.u.: 10.297
ρ in g/cm³: 7.2
E_form in eV/f.u.: -2.3
Crystal system: tetragonal
E in eV per formula unit: -37.6
M_tot in μB/f.u.: 0.13



Record 5
VASP calculation (GGA-PBE) on a relaxed BaSrMg2 crystal.

a = 11.765 Å, b = 4.012 Å, c = 7.267 Å
α = 90.00°, β = 101.37°, γ = 90.00°
Space group C2/m (No. 12)
One atom of each set of equivalent atoms:
Ba  0.000  0.000  0.000 (multiplicity 2)
Sr  0.000  0.500  0.500 (multiplicity 2)
Mg  0.248  0.000  0.695 (multiplicity 4)

Values from the calculation:
Density of states at the Fermi level in states/eV/f.u.: 3.932
ρ in g/cm³: 2.7
E_form in eV/f.u.: 0.5
Crystal system: monoclinic
E in eV per formula unit: -6.3
Distance to the lowest polymorph of the same formula in meV per atom: 183
M_tot in μB/f.u.: 0.00



Record 6
VASP calculation (GGA-PBE) on a relaxed Ho2PuS4 crystal.

a = 3.866 Å, b = 12.855 Å, c = 13.066 Å
α = 90.00°, β = 90.00°, γ = 90.00°
Space group Cmcm (No. 63)
One atom of each set of equivalent atoms:
Ho  0.000  0.133  0.068 (multiplicity 8)
Pu  0.000  0.381  0.250 (multiplicity 4)
S  0.000  0.038  0.250 (multiplicity 4)
S  0.000  0.227  0.621 (multiplicity 8)
S  0.000  0.500  0.000 (multiplicity 4)

Values from the calculation:
Density of states at the Fermi level in states/eV/f.u.: 14.818
ρ in g/cm³: 7.2
Crystal system: orthorhombic
E in eV per formula unit: -53.7
M_tot in μB/f.u.: 5.61
Energy relative to the elements, uncorrected in eV per atom: -1.954



Record 7
VASP calculation (GGA-PBE) on a relaxed PrAl4Ga crystal.

a = 7.907 Å, b = 7.907 Å, c = 7.907 Å
α = 90.00°, β = 90.00°, γ = 90.00°
Space group F-43m (No. 216)
One atom of each set of equivalent atoms:
Pr  0.000  0.000  0.000 (multiplicity 4)
Al  0.125  0.125  0.625 (multiplicity 16)
Ga  0.250  0.250  0.250 (multiplicity 4)

Values from the calculation:
Density of states at the Fermi level in states/eV/f.u.: 5.099
ρ in g/cm³: 4.3
E_form in eV/f.u.: -0.9
Crystal system: cubic
E in eV per formula unit: -23.7
M_tot in μB/f.u.: 0.00



Record 8
VASP calculation (GGA-PBE) on a relaxed KCa2Ir crystal.

a = 7.437 Å, b = 4.288 Å, c = 10.214 Å
α = 90.00°, β = 103.96°, γ = 90.00°
Space group C2/m (No. 12)
One atom of each set of equivalent atoms:
K  0.000  0.000  0.000 (multiplicity 2)
Ca  0.212  0.000  0.636 (multiplicity 4)
Ir  0.000  0.500  0.500 (multiplicity 2)

Values from the calculation:
Density of states at the Fermi level in states/eV/f.u.: 2.159
ρ in g/cm³: 3.3
E_form in eV/f.u.: -0.1
Crystal system: monoclinic
E in eV per formula unit: -14.0
Distance to the lowest polymorph of the same formula in meV per atom: 70
M_tot in μB/f.u.: 0.00



Record 9
VASP calculation (GGA-PBE) on a relaxed Ba2CdCoTe crystal.

a = 5.781 Å, b = 5.781 Å, c = 4.991 Å
α = 90.00°, β = 90.00°, γ = 90.00°
Space group P4/mmm (No. 123)
One atom of each set of equivalent atoms:
Ba  0.000  0.500  0.000 (multiplicity 2)
Cd  0.000  0.000  0.500 (multiplicity 1)
Co  0.000  0.000  0.000 (multiplicity 1)
Te  0.500  0.500  0.500 (multiplicity 1)

Values from the calculation:
Density of states at the Fermi level in states/eV/f.u.: 1.425
ρ in g/cm³: 5.7
Crystal system: tetragonal
E in eV per formula unit: -17.2
M_tot in μB/f.u.: 0.36
Energy relative to the elements, uncorrected in eV per atom: -0.429



Record 10
VASP calculation (GGA-PBE) on a relaxed Ca2ZnIr crystal.

a = 7.525 Å, b = 4.347 Å, c = 7.291 Å
α = 90.00°, β = 110.06°, γ = 90.00°
Space group Cm (No. 8)
One atom of each set of equivalent atoms:
Ca  0.000  0.000  0.000 (multiplicity 2)
Ca  0.171  0.000  0.515 (multiplicity 2)
Zn  0.253  0.500  0.258 (multiplicity 2)
Ir  0.418  0.000  0.256 (multiplicity 2)

Values from the calculation:
Density of states at the Fermi level in states/eV/f.u.: 2.598
ρ in g/cm³: 5.0
E_form in eV/f.u.: -1.3
Crystal system: monoclinic
E in eV per formula unit: -15.5
M_tot in μB/f.u.: 0.00



Record 11
VASP calculation (GGA-PBE) on a relaxed GdAl8Fe4 crystal.

a = 8.720 Å, b = 8.720 Å, c = 5.017 Å
α = 90.00°, β = 90.00°, γ = 90.00°
Space group I4/mmm (No. 139)
One atom of each set of equivalent atoms:
Gd  0.000  0.000  0.000 (multiplicity 2)
Al  0.000  0.222  0.500 (multiplicity 8)
Al  0.000  0.341  0.000 (multiplicity 8)
Fe  0.250  0.250  0.250 (multiplicity 8)

Values from the calculation:
Density of states at the Fermi level in states/eV/f.u.: 8.631
ρ in g/cm³: 5.2
E_form in eV/f.u.: -5.5
Crystal system: tetragonal
E in eV per formula unit: -83.4
M_tot in μB/f.u.: 12.51



Record 12
VASP calculation (GGA-PBE) on a relaxed PAu2Br crystal.

a = 3.876 Å, b = 3.876 Å, c = 11.053 Å
α = 90.00°, β = 90.00°, γ = 90.00°
Space group I4/mmm (No. 139)
One atom of each set of equivalent atoms:
P  0.000  0.000  0.000 (multiplicity 2)
Au  0.000  0.500  0.250 (multiplicity 4)
Br  0.000  0.000  0.500 (multiplicity 2)

Values from the calculation:
Density of states at the Fermi level in states/eV/f.u.: 2.448
ρ in g/cm³: 10.1
Crystal system: tetragonal
E in eV per formula unit: -11.0
Distance to the lowest polymorph of the same formula in meV per atom: 567
M_tot in μB/f.u.: 0.00
Energy relative to the elements, uncorrected in eV per atom: 0.652